A plane-wave DFT calculation with PBE was carried out for Sc2B4Ru5 after structural relaxation.

a = 3.0007 Å, b = 8.5555 Å, c = 10.0773 Å
α = 90.00°, β = 90.00°, γ = 90.00°
Last column: nearest neighbours and their distance in Å.
Positions (direct):
B 0.5000 0.0357 0.4117  1 B 1.88
B 0.5000 0.8527 0.8981  6 Ru 2.21-2.29
B 0.5000 0.6473 0.3981  6 Ru 2.21-2.29
B 0.5000 0.5357 0.0883  1 B 1.88
B 0.5000 0.3527 0.6019  6 Ru 2.21-2.29
B 0.5000 0.1473 0.1019  6 Ru 2.21-2.29
B 0.5000 0.9642 0.5883  1 B 1.88
B 0.5000 0.4642 0.9117  1 B 1.88
Ru 0.0000 0.9042 0.7377  4 B 2.19-2.25
Ru 0.0000 0.6610 0.9518  6 B 2.29-2.30
Ru 0.0000 0.4042 0.7623  4 B 2.19-2.25
Ru 0.0000 0.8390 0.4518  6 B 2.29-2.30
Ru 0.0000 0.0000 0.0000  4 B 2.21
Ru 0.0000 0.3390 0.0482  6 B 2.29-2.30
Ru 0.0000 0.1610 0.5482  6 B 2.29-2.30
Ru 0.0000 0.5958 0.2377  4 B 2.19-2.25
Ru 0.0000 0.5000 0.5000  4 B 2.21
Ru 0.0000 0.0958 0.2623  4 B 2.19-2.25
Sc 0.5000 0.6573 0.6808  6 Ru 2.65-2.76, 5 B 2.72-2.85
Sc 0.5000 0.8427 0.1808  6 Ru 2.65-2.76, 5 B 2.72-2.85
Sc 0.5000 0.1573 0.8192  6 Ru 2.65-2.76, 5 B 2.72-2.85
Sc 0.5000 0.3427 0.3192  6 Ru 2.65-2.76, 5 B 2.72-2.85

- VASP energy: -0.6191 Ry/atom
- SG: Pbam (55)
- Calculated formation energy: -0.627 eV per atom

=====

A plane-wave DFT calculation with PBE was carried out for Ba8LiTl2 after structural relaxation.

a = 6.0427 Å, b = 8.6400 Å, c = 11.3007 Å
α = 107.69°, β = 105.51°, γ = 90.00°
Last column: nearest neighbours and their distance in Å.
Positions (direct):
Ba 0.4005 0.5404 0.8010  2 Tl 3.81, 1 Li 3.88, 6 Ba 4.14-4.26
Ba 0.5995 0.4596 0.1990  2 Tl 3.81, 1 Li 3.88, 6 Ba 4.14-4.26
Ba 0.6709 0.9637 0.3418  3 Tl 3.53-3.83, 1 Li 3.83
Ba 0.3291 0.0363 0.6582  3 Tl 3.53-3.83, 1 Li 3.83
Ba 0.9659 0.2163 0.9318  1 Tl 3.56, 2 Li 3.75
Ba 0.1998 0.3087 0.3995  1 Tl 3.53
Ba 0.8002 0.6913 0.6005  1 Tl 3.53
Ba 0.0341 0.7837 0.0682  1 Tl 3.56, 2 Li 3.75
Li 0.5000 0.0000 0.0000  8 Ba 3.75-3.88
Tl 0.1847 0.7033 0.3693  7 Ba 3.53-3.83
Tl 0.8153 0.2967 0.6307  7 Ba 3.53-3.83

- VASP energy: -0.1585 Ry/atom
- SG: C2/m (12)
- Calculated formation energy: -0.154 eV per atom

=====

A plane-wave DFT calculation with PBE was carried out for Ag3PdAu3 after structural relaxation.

a = 7.7425 Å, b = 7.7425 Å, c = 7.7425 Å
α = 51.88°, β = 51.88°, γ = 51.88°
Last column: nearest neighbours and their distance in Å.
Positions (direct):
Ag 0.2855 0.7841 0.0984  2 Pd 2.79-2.89, 4 Au 2.80-2.97, 4 Ag 2.83-2.97
Ag 0.2159 0.9016 0.7145  2 Pd 2.79-2.89, 4 Au 2.80-2.97, 4 Ag 2.83-2.97
Ag 0.9016 0.7145 0.2159  2 Pd 2.79-2.89, 4 Au 2.80-2.97, 4 Ag 2.83-2.97
Ag 0.7841 0.0984 0.2855  2 Pd 2.79-2.89, 4 Au 2.80-2.97, 4 Ag 2.83-2.97
Ag 0.0984 0.2855 0.7841  2 Pd 2.79-2.89, 4 Au 2.80-2.97, 4 Ag 2.83-2.97
Ag 0.7145 0.2159 0.9016  2 Pd 2.79-2.89, 4 Au 2.80-2.97, 4 Ag 2.83-2.97
Au 0.2489 0.4320 0.9317  4 Ag 2.80-2.97, 5 Au 2.83-2.97, 1 Pd 2.85
Au 0.9317 0.2489 0.4320  4 Ag 2.80-2.97, 5 Au 2.83-2.97, 1 Pd 2.85
Au 0.0683 0.7511 0.5680  4 Ag 2.80-2.97, 5 Au 2.83-2.97, 1 Pd 2.85
Au 0.5680 0.0683 0.7511  4 Ag 2.80-2.97, 5 Au 2.83-2.97, 1 Pd 2.85
Au 0.4320 0.9317 0.2489  4 Ag 2.80-2.97, 5 Au 2.83-2.97, 1 Pd 2.85
Au 0.7511 0.5680 0.0683  4 Ag 2.80-2.97, 5 Au 2.83-2.97, 1 Pd 2.85
Pd 0.6819 0.6819 0.6819  6 Ag 2.79-2.89, 3 Au 2.85
Pd 0.3181 0.3181 0.3181  6 Ag 2.79-2.89, 3 Au 2.85

- VASP energy: -0.2412 Ry/atom
- SG: R-3 (148)
- Energy relative to the lowest polymorph listed for this composition: 0.022 eV/atom
- Calculated formation energy: 0.087 eV per atom

=====

A plane-wave DFT calculation with PBE was carried out for Ce2PaSe5 after structural relaxation.

a = 5.7180 Å, b = 7.5913 Å, c = 13.9152 Å
α = 90.00°, β = 90.00°, γ = 112.12°
Last column: nearest neighbours and their distance in Å.
Positions (direct):
Ce 0.1480 0.2959 0.9384  6 Se 2.89-3.08
Ce 0.8520 0.7041 0.4384  6 Se 2.89-3.08
Ce 0.8520 0.7041 0.0616  6 Se 2.89-3.08
Ce 0.1480 0.2959 0.5616  6 Se 2.89-3.08
Se 0.9515 0.9029 0.6216  1 Pa 2.77, 2 Ce 2.89-2.91
Se 0.7373 0.4746 0.2500  2 Pa 2.91, 2 Ce 3.08
Se 0.2627 0.5254 0.7500  2 Pa 2.91, 2 Ce 3.08
Se 0.0485 0.0971 0.1216  1 Pa 2.77, 2 Ce 2.89-2.91
Se 0.3132 0.6264 0.4220  1 Pa 2.88, 3 Ce 2.92-3.03
Se 0.0485 0.0971 0.3784  1 Pa 2.77, 2 Ce 2.89-2.91
Se 0.6868 0.3736 0.5780  1 Pa 2.88, 3 Ce 2.92-3.03
Se 0.6868 0.3736 0.9220  1 Pa 2.88, 3 Ce 2.92-3.03
Se 0.9515 0.9029 0.8784  1 Pa 2.77, 2 Ce 2.89-2.91
Se 0.3132 0.6264 0.0780  1 Pa 2.88, 3 Ce 2.92-3.03
Pa 0.1989 0.3978 0.2500  6 Se 2.77-2.91
Pa 0.8011 0.6022 0.7500  6 Se 2.77-2.91

- VASP energy: -0.4723 Ry/atom
- SG: Cmcm (63)
- Energy relative to the lowest polymorph listed for this composition: 0.107 eV/atom
- Formation energy without anion corrections: -1578 meV/atom